Entry 1:
Here is an optimized crystal structure of AcPm12Tm7 from Alexandria. Energies are from PBE.

a b c (Å): 11.5874 11.5874 11.5874
angles (deg): 90.00 90.00 90.00
Closest atoms and distances in Å follow each position.
Space group Im-3m (No. 229)
Inequivalent atoms, fractional coordinates:
Ac: 0.0000 0.0000 0.0000  12 Pm 4.45
Pm: 0.0000 0.2713 0.2713  2 Tm 2.92
Tm: 0.0000 0.0000 0.5000  12 Pm 3.75-4.11
Tm: 0.2500 0.2500 0.2500  6 Pm 2.92

## Properties
- uncorrected energy (eV/cell) = -158.78
- DOS at the Fermi energy (states/eV/atom) = 1.52
- V (Å³/atom) = 38.9
- total magnetic moment (μB per formula unit) = 0.00

***

Entry 2:
Here is an optimized crystal structure of AcPm14Tm from Alexandria. Energies are from PBE.

a b c (Å): 11.8370 7.3853 12.8185
angles (deg): 90.00 90.00 90.00
Closest atoms and distances in Å follow each position.
Space group Amm2 (No. 38)
Inequivalent atoms, fractional coordinates:
Ac: 0.0000 0.0000 0.0000  10 Pm 3.67-3.73, 2 Tm 3.69
Pm: 0.0000 0.2474 0.7517  8 Pm 3.63-3.73, 2 Ac 3.67-3.73, 2 Tm 3.68-3.72
Pm: 0.2474 0.0000 0.3352  1 Tm 3.63, 11 Pm 3.63-3.70
Pm: 0.2510 0.2484 0.5858  10 Pm 3.63-3.72, 1 Tm 3.65, 1 Ac 3.67
Pm: 0.2543 0.0000 0.8343  11 Pm 3.61-3.72, 1 Ac 3.68
Pm: 0.5000 0.0000 0.0021  12 Pm 3.62-3.71
Pm: 0.5000 0.0000 0.5012  12 Pm 3.64-3.70
Pm: 0.5000 0.2493 0.2513  12 Pm 3.61-3.71
Tm: 0.0000 0.0000 0.5025  10 Pm 3.63-3.72, 2 Ac 3.69

## Properties
- uncorrected energy (eV/cell) = -149.00
- DOS at the Fermi energy (states/eV/atom) = 1.84
- V (Å³/atom) = 35.0
- total magnetic moment (μB per formula unit) = 0.00

***

Entry 3:
Here is an optimized crystal structure of AcPm6Tm2 from Alexandria. Energies are from PBE.

a b c (Å): 5.7774 9.9657 21.3806
angles (deg): 90.00 90.00 90.00
Closest atoms and distances in Å follow each position.
Space group Ibam (No. 72)
Inequivalent atoms, fractional coordinates:
Ac: 0.0000 0.0000 0.2500  14 Pm 3.65-3.83
Pm: 0.0000 0.0000 0.0794  7 Pm 3.40-3.77, 1 Ac 3.65, 6 Tm 3.73-3.75
Pm: 0.0007 0.3332 0.1618  3 Pm 3.32-3.33, 1 Tm 3.46
Tm: 0.0012 0.3333 0.5000  3 Tm 3.32-3.33, 2 Pm 3.46

## Properties
- uncorrected energy (eV/cell) = -163.94
- DOS at the Fermi energy (states/eV/atom) = 1.37
- V (Å³/atom) = 34.2
- total magnetic moment (μB per formula unit) = 0.00

***

Entry 4:
Here is an optimized crystal structure of AcPm6Tm4 from Alexandria. Energies are from PBE.

a b c (Å): 5.9034 9.7777 25.8795
angles (deg): 90.00 90.00 90.00
Closest atoms and distances in Å follow each position.
Space group Cmcm (No. 63)
Inequivalent atoms, fractional coordinates:
Ac: 0.0000 0.2103 0.2500  3 Pm 3.33-3.34
Pm: 0.0000 0.1243 0.6786  4 Tm 3.52-3.65, 5 Pm 3.67-3.88, 3 Ac 3.76-3.84
Pm: 0.0000 0.1979 0.0959  7 Tm 3.41-3.68, 1 Pm 3.81
Pm: 0.0000 0.4489 0.7500  2 Tm 3.26, 3 Ac 3.33-3.34
Pm: 0.0000 0.5000 0.0000  8 Tm 3.23-3.58
Tm: 0.0000 0.1520 0.5431  8 Pm 3.49-3.68, 2 Tm 3.66-3.72
Tm: 0.0000 0.4593 0.6240  6 Pm 3.23-3.57

## Properties
- uncorrected energy (eV/cell) = -196.44
- DOS at the Fermi energy (states/eV/atom) = 1.71
- V (Å³/atom) = 34.0
- total magnetic moment (μB per formula unit) = 0.00

***

Entry 5:
Here is an optimized crystal structure of AcPm4Tm15 from Alexandria. Energies are from PBE.

a b c (Å): 5.0209 5.0209 24.9898
angles (deg): 90.00 90.00 90.00
Closest atoms and distances in Å follow each position.
Space group P4/mmm (No. 123)
Inequivalent atoms, fractional coordinates:
Ac: 0.0000 0.0000 0.0000  12 Tm 3.55-3.62
Pm: 0.0000 0.0000 0.2021  12 Tm 3.50-3.55
Pm: 0.0000 0.0000 0.4009  12 Tm 3.53-3.55
Tm: 0.0000 0.5000 0.1043  2 Pm 3.50, 8 Tm 3.52-3.62, 2 Ac 3.62
Tm: 0.0000 0.5000 0.3019  8 Tm 3.53-3.55, 4 Pm 3.53-3.54
Tm: 0.0000 0.5000 0.5000  4 Pm 3.53, 8 Tm 3.53-3.55
Tm: 0.5000 0.5000 0.0000  4 Ac 3.55, 8 Tm 3.62
Tm: 0.5000 0.5000 0.2028  8 Tm 3.52-3.53, 4 Pm 3.55
Tm: 0.5000 0.5000 0.4009  8 Tm 3.53, 4 Pm 3.55

## Properties
- uncorrected energy (eV/cell) = -89.45
- DOS at the Fermi energy (states/eV/atom) = 1.47
- V (Å³/atom) = 31.5
- total magnetic moment (μB per formula unit) = 0.00

***

Entry 6:
Here is an optimized crystal structure of Ac6Pm5Tm from Alexandria. Energies are from PBE.

a b c (Å): 5.4780 10.4125 16.3631
angles (deg): 90.00 90.00 90.00
Closest atoms and distances in Å follow each position.
Space group Immm (No. 71)
Inequivalent atoms, fractional coordinates:
Ac: 0.0000 0.2474 0.0000  6 Pm 3.75-3.80, 2 Tm 3.76, 4 Ac 3.86
Ac: 0.0000 0.2516 0.3341  1 Tm 3.75, 7 Pm 3.77-3.79, 4 Ac 3.86-3.88
Pm: 0.0000 0.0000 0.1666  8 Ac 3.75-3.79, 2 Tm 3.86, 2 Pm 3.87
Pm: 0.0000 0.0000 0.5000  8 Ac 3.77-3.80, 4 Pm 3.86
Pm: 0.0000 0.5000 0.1660  8 Ac 3.78-3.79, 4 Pm 3.86-3.87
Tm: 0.0000 0.5000 0.5000  8 Ac 3.75-3.76, 4 Pm 3.86

## Properties
- uncorrected energy (eV/cell) = -104.91
- DOS at the Fermi energy (states/eV/atom) = 1.44
- V (Å³/atom) = 38.9
- total magnetic moment (μB per formula unit) = 0.00

***

Entry 7:
Here is an optimized crystal structure of Ac2Pm4Tm5 from Alexandria. Energies are from PBE.

a b c (Å): 9.3220 3.6421 11.9539
angles (deg): 90.00 108.36 90.00
Closest atoms and distances in Å follow each position.
Space group P2/m (No. 10)
Inequivalent atoms, fractional coordinates:
Ac: 0.1400 0.0000 0.4095  3 Tm 3.59-3.65, 3 Ac 3.64-3.88, 4 Pm 3.89-4.02
Pm: 0.2442 0.5000 0.7276  4 Tm 3.38, 2 Pm 3.64
Pm: 0.2503 0.5000 0.1482  6 Tm 3.39-3.56, 2 Pm 3.64
Tm: 0.0916 0.0000 0.9002  4 Tm 3.34-3.64, 6 Pm 3.38-3.56, 1 Ac 3.65
Tm: 0.4964 0.0000 0.6413  4 Pm 3.38-3.39, 3 Tm 3.40-3.64, 2 Ac 3.59-3.63
Tm: 0.5000 0.0000 0.0000  4 Tm 3.61-3.64, 8 Pm 3.80-3.84

## Properties
- uncorrected energy (eV/cell) = -48.02
- DOS at the Fermi energy (states/eV/atom) = 1.24
- V (Å³/atom) = 35.0
- total magnetic moment (μB per formula unit) = 0.00

***

Entry 8:
Here is an optimized crystal structure of AcPm5Tm2 from Alexandria. Energies are from PBE.

a b c (Å): 17.1958 10.1723 6.5003
angles (deg): 90.00 97.69 90.00
Closest atoms and distances in Å follow each position.
Space group C2/c (No. 15)
Inequivalent atoms, fractional coordinates:
Ac: 0.2500 0.2500 0.0000  2 Tm 3.30, 4 Pm 3.65-3.66
Pm: 0.0000 0.0472 0.7500  4 Tm 3.19-3.45, 2 Pm 3.39
Pm: 0.0992 0.4144 0.6234  4 Tm 3.43-3.75, 3 Pm 3.69-3.73, 1 Ac 3.72
Pm: 0.1878 0.0945 0.4994  1 Tm 3.49, 3 Ac 3.65-3.89, 7 Pm 3.71-3.85
Tm: 0.0671 0.2530 0.1006  5 Pm 3.19-3.49, 1 Tm 3.21, 1 Ac 3.30

## Properties
- uncorrected energy (eV/cell) = -141.42
- DOS at the Fermi energy (states/eV/atom) = 1.71
- V (Å³/atom) = 35.2
- total magnetic moment (μB per formula unit) = 0.00

***

Entry 9:
Here is an optimized crystal structure of AcPm4Tm3 from Alexandria. Energies are from PBE.

a b c (Å): 3.7644 5.8928 24.7586
angles (deg): 90.00 90.00 90.00
Closest atoms and distances in Å follow each position.
Space group Immm (No. 71)
Inequivalent atoms, fractional coordinates:
Ac: 0.0000 0.0000 0.0000  4 Tm 3.50, 2 Ac 3.76
Pm: 0.0000 0.5000 0.1140  4 Tm 3.39-3.52, 6 Pm 3.57-3.76
Pm: 0.0000 0.5000 0.3578  6 Pm 3.57-3.76, 4 Tm 3.59-3.72, 2 Ac 3.99
Tm: 0.0000 0.0000 0.2659  6 Pm 3.52-3.72, 6 Tm 3.58-3.76
Tm: 0.0000 0.0000 0.5000  4 Pm 3.39, 4 Ac 3.50, 2 Tm 3.76

## Properties
- uncorrected energy (eV/cell) = -71.59
- DOS at the Fermi energy (states/eV/atom) = 1.77
- V (Å³/atom) = 34.3
- total magnetic moment (μB per formula unit) = 0.00

***

Entry 10:
Here is an optimized crystal structure of Ac3Pm3Tm2 from Alexandria. Energies are from PBE.

a b c (Å): 6.0906 6.1083 7.9560
angles (deg): 90.00 90.00 90.00
Closest atoms and distances in Å follow each position.
Space group Pmmm (No. 47)
Inequivalent atoms, fractional coordinates:
Ac: 0.0000 0.0000 0.0000  4 Pm 3.68, 4 Tm 3.69, 2 Ac 3.98
Ac: 0.0000 0.0000 0.5000  4 Pm 3.60, 4 Tm 3.60, 2 Ac 3.98
Ac: 0.5000 0.5000 0.0000  4 Tm 3.68, 6 Pm 3.68-3.98
Pm: 0.5000 0.0000 0.2589  6 Ac 3.60-3.68, 3 Pm 3.61-3.84
Pm: 0.5000 0.5000 0.5000  4 Tm 3.60, 4 Pm 3.61, 2 Ac 3.98
Tm: 0.0000 0.5000 0.2593  2 Pm 3.60, 6 Ac 3.60-3.69, 1 Tm 3.83

## Properties
- uncorrected energy (eV/cell) = -34.62
- DOS at the Fermi energy (states/eV/atom) = 1.88
- V (Å³/atom) = 37.0
- total magnetic moment (μB per formula unit) = 0.00

***

Entry 11:
Here is an optimized crystal structure of Ac4Pm10Tm from Alexandria. Energies are from PBE.

a b c (Å): 11.7569 11.7569 8.2420
angles (deg): 90.00 90.00 90.00
Closest atoms and distances in Å follow each position.
Space group I4/mmm (No. 139)
Inequivalent atoms, fractional coordinates:
Ac: 0.2270 0.2270 0.0000  8 Pm 3.61-3.72, 1 Tm 3.77
Pm: 0.0000 0.2069 0.2933  4 Pm 3.41-3.46, 1 Tm 3.43, 4 Ac 3.61-3.72
Pm: 0.0000 0.5000 0.2500  4 Pm 3.46
Tm: 0.0000 0.0000 0.0000  8 Pm 3.43, 4 Ac 3.77

## Properties
- uncorrected energy (eV/cell) = -129.58
- DOS at the Fermi energy (states/eV/atom) = 1.47
- V (Å³/atom) = 38.0
- total magnetic moment (μB per formula unit) = 0.00

***

Entry 12:
Here is an optimized crystal structure of AcPm2Tm5 from Alexandria. Energies are from PBE.

a b c (Å): 7.1677 20.1362 7.2105
angles (deg): 90.00 90.00 90.00
Closest atoms and distances in Å follow each position.
Space group Pbam (No. 55)
Inequivalent atoms, fractional coordinates:
Ac: 0.2460 0.1268 0.0000  8 Tm 3.57-3.61, 4 Pm 3.61-3.63
Pm: 0.0000 0.5000 0.2541  4 Pm 3.55-3.66, 6 Tm 3.57-3.60, 2 Ac 3.63
Pm: 0.2458 0.1265 0.5000  8 Tm 3.54-3.61, 2 Pm 3.60, 2 Ac 3.61
Tm: 0.0000 0.0000 0.2547  6 Tm 3.54-3.67, 4 Pm 3.57-3.58, 2 Ac 3.61
Tm: 0.0035 0.7498 0.2553  8 Tm 3.53-3.68, 2 Pm 3.54, 2 Ac 3.57
Tm: 0.2473 0.3739 0.0000  2 Ac 3.57-3.59, 8 Tm 3.58-3.62, 2 Pm 3.60
Tm: 0.2490 0.3741 0.5000  8 Tm 3.54-3.61, 4 Pm 3.56-3.61

## Properties
- uncorrected energy (eV/cell) = -142.66
- DOS at the Fermi energy (states/eV/atom) = 1.22
- V (Å³/atom) = 32.5
- total magnetic moment (μB per formula unit) = 0.00

***

The following formation enthalpy at 0 K values (in meV/atom) correspond, in order, to the records above: 651, 37, 63, 126, 37, 35, 142, 181, 91, 112, 241, 38.